Record 1
{
  "formula": "P3C",
  "functional": "GGA-PBEsol",
  "state": "relaxed",
  "lattice": [[2.978, 0.000, 0.000], [0.000, 2.978, 0.000], [0.000, 0.000, 27.045]],
  "species": ["P", "P", "P", "P", "P", "P", "P", "P", "P", "P", "P", "P", "C", "C", "C", "C"],
  "fractional_positions": [[0.000, 0.000, 0.125], [0.000, 0.000, 0.875], [0.000, 0.500, 0.000], [0.000, 0.500, 0.250], [0.000, 0.500, 0.500], [0.000, 0.500, 0.750], [0.500, 0.000, 0.000], [0.500, 0.000, 0.250], [0.500, 0.000, 0.500], [0.500, 0.000, 0.750], [0.500, 0.500, 0.375], [0.500, 0.500, 0.625], [0.000, 0.000, 0.375], [0.000, 0.000, 0.625], [0.500, 0.500, 0.125], [0.500, 0.500, 0.875]],
  "dos_at_fermi_per_ev_atom": 0.4895,
  "final_energy_ev_per_atom": -5.49,
  "formation_energy_mev_per_atom": 1263
}



Record 2
{
  "formula": "CsBaNF2",
  "functional": "GGA-PBEsol",
  "state": "relaxed",
  "lattice": [[5.034, 0.000, 0.000], [0.000, 5.034, 0.000], [0.000, 0.000, 5.386]],
  "species": ["Cs", "Ba", "N", "F", "F"],
  "fractional_positions": [[0.000, 0.000, 0.000], [0.500, 0.500, 0.500], [0.500, 0.500, 0.000], [0.000, 0.500, 0.500], [0.500, 0.000, 0.500]],
  "dos_at_fermi_per_ev_atom": 0.7109,
  "final_energy_ev_per_atom": -4.73
}